(1)
Density functional theory data (PBE-GGA) for an optimized crystal structure of CaTb3Pr4Te8.

Values from the calculation:
Formation energy without anion corrections: -1.41 eV per atom
ρ: 6.9 g/cm3
DOS(E_F): 28.71 states/eV/cell

a b c (Å): 8.8481 8.8481 22.3024
angles (deg): 90.00 90.00 120.00
Space group R-3m (No. 166, hexagonal axes)
Symmetry-distinct sites (fractional):
Ca (0.0000, 0.0000, 0.0000)
Tb (0.0000, 0.5000, 0.0000)
Pr (0.0000, 0.0000, 0.5000)
Pr (0.0000, 0.5000, 0.5000)
Te (0.0000, 0.0000, 0.2544)
Te (0.0009, 0.5005, 0.2542)

(2)
Density functional theory data (PBE-GGA) for an optimized crystal structure of Pm2TmCd4.

Values from the calculation:
Energy relative to the elements: -0.16 eV per atom
ρ: 7.5 g/cm3
DOS(E_F): 10.43 states/eV/cell

a b c (Å): 5.3229 5.3229 14.2011
angles (deg): 90.00 90.00 90.00
Space group I4/mmm (No. 139)
Symmetry-distinct sites (fractional):
Pm (0.0000, 0.0000, 0.2421)
Tm (0.0000, 0.0000, 0.5000)
Cd (0.0000, 0.5000, 0.1098)

(3)
Density functional theory data (PBE-GGA) for an optimized crystal structure of Pm2BiOs.

Values from the calculation:
Energy relative to the elements: -0.08 eV per atom
ρ: 11.1 g/cm3
DOS(E_F): 14.99 states/eV/cell

a b c (Å): 7.4461 7.4461 7.4461
angles (deg): 90.00 90.00 90.00
Space group Fm-3m (No. 225)
Symmetry-distinct sites (fractional):
Pm (0.2500, 0.2500, 0.2500)
Bi (0.0000, 0.0000, 0.0000)
Os (0.0000, 0.0000, 0.5000)